Entry 1:
K2VGaRh after structural relaxation, computed with GGA-PBE.

a = 6.399 Å, b = 6.399 Å, c = 4.451 Å
α = 90.00°, β = 90.00°, γ = 90.00°
Element x y z (fractional)
K 0.000 0.500 0.000
K 0.500 0.000 0.000
V 0.000 0.000 0.000
Ga 0.500 0.500 0.500
Rh 0.000 0.000 0.500

Values from the calculation:
* electronic total energy: -17.1 eV per cell
* ΔH_f (0 K): 0.91 eV per atom
* symmetry: No. 123

Entry 2:
KZn2GaRh after structural relaxation, computed with GGA-PBE.

a = 4.952 Å, b = 4.952 Å, c = 4.777 Å
α = 90.00°, β = 90.00°, γ = 90.00°
Element x y z (fractional)
K 0.000 0.000 0.000
Zn 0.000 0.500 0.500
Zn 0.500 0.000 0.500
Ga 0.500 0.500 0.000
Rh 0.500 0.500 0.500

Values from the calculation:
* electronic total energy: -15.3 eV per cell
* ΔH_f (0 K): -0.25 eV per atom
* symmetry: No. 123

Entry 3:
KZrGaRh2 after structural relaxation, computed with GGA-PBE.

a = 4.650 Å, b = 4.650 Å, c = 4.982 Å
α = 90.00°, β = 90.00°, γ = 90.00°
Element x y z (fractional)
K 0.000 0.000 0.000
Zr 0.500 0.500 0.500
Ga 0.000 0.000 0.500
Rh 0.000 0.500 0.000
Rh 0.500 0.000 0.000

Values from the calculation:
* electronic total energy: -19.6 eV per cell
* ΔH_f (0 K): 1.56 eV per atom
* symmetry: No. 123

Entry 4:
K3GaRu after structural relaxation, computed with GGA-PBE.

a = 6.260 Å, b = 6.260 Å, c = 6.260 Å
α = 90.00°, β = 90.00°, γ = 90.00°
Element x y z (fractional)
K 0.000 0.000 0.500
K 0.000 0.500 0.000
K 0.500 0.000 0.000
Ga 0.000 0.000 0.000
Ru 0.500 0.500 0.500

Values from the calculation:
* electronic total energy: -9.4 eV per cell
* ΔH_f (0 K): 1.23 eV per atom
* symmetry: No. 221

Entry 5:
KGa3Ru after structural relaxation, computed with GGA-PBE.

a = 5.192 Å, b = 5.192 Å, c = 5.192 Å
α = 90.00°, β = 90.00°, γ = 90.00°
Element x y z (fractional)
K 0.000 0.000 0.000
Ga 0.000 0.000 0.500
Ga 0.000 0.500 0.000
Ga 0.500 0.000 0.000
Ru 0.500 0.500 0.500

Values from the calculation:
* electronic total energy: -10.1 eV per cell
* ΔH_f (0 K): 1.87 eV per atom
* symmetry: No. 221
* offset from the most stable computed form: 10.80 eV per formula unit

Entry 6:
KGa2Ru2 after structural relaxation, computed with GGA-PBE.

a = 6.584 Å, b = 6.584 Å, c = 6.584 Å
α = 144.15°, β = 144.15°, γ = 51.61°
Element x y z (fractional)
K 0.000 0.000 0.000
Ga 0.379 0.379 0.000
Ga 0.621 0.621 0.000
Ru 0.250 0.750 0.500
Ru 0.750 0.250 0.500

Values from the calculation:
* electronic total energy: -24.7 eV per cell
* ΔH_f (0 K): 0.20 eV per atom
* symmetry: No. 139
* offset from the most stable computed form: 0.39 eV per formula unit